Entry from Alexandria via LeMat-Bulk: a geometry-optimized LuSc2Mn structure (PBE).

abc: 3.227 3.227 8.350
angles: 90.00 90.00 90.00
Space group P4/mmm (No. 123)
Unique sites:
Lu 0.000 0.000 0.000
Sc 0.500 0.500 0.313
Mn 0.000 0.000 0.500

Values from the calculation:
energy of formation: 0.090 eV/atom
magnetic moment: 1.21 μB per formula unit
DOS at the Fermi energy: 1.624 states/eV per atom

Entry from Alexandria via LeMat-Bulk: a geometry-optimized LuSc3Mn4Si4 structure (PBE).

abc: 6.623 3.898 7.434
angles: 90.00 90.57 90.00
Space group Pm (No. 6)
Unique sites:
Lu 0.000 0.000 0.000
Sc 0.036 0.500 0.632
Sc 0.499 0.000 0.138
Sc 0.534 0.500 0.501
Mn 0.161 0.500 0.262
Mn 0.381 0.000 0.759
Mn 0.663 0.500 0.873
Mn 0.876 0.000 0.379
Si 0.238 0.000 0.440
Si 0.305 0.500 0.936
Si 0.738 0.000 0.691
Si 0.793 0.500 0.205

Values from the calculation:
magnetic moment: 7.78 μB per formula unit
DOS at the Fermi energy: 0.805 states/eV per atom
formation energy from raw total energies: -7.0 eV/f.u.

Entry from Alexandria via LeMat-Bulk: a geometry-optimized LuScMnTc structure (PBE).

abc: 6.677 6.677 6.677
angles: 90.00 90.00 90.00
Space group F-43m (No. 216)
Unique sites:
Lu 0.000 0.000 0.000
Sc 0.000 0.000 0.500
Mn 0.250 0.250 0.250
Tc 0.250 0.250 0.750

Values from the calculation:
energy of formation: -0.006 eV/atom
magnetic moment: 3.59 μB per formula unit
DOS at the Fermi energy: 0.903 states/eV per atom

Entry from Alexandria via LeMat-Bulk: a geometry-optimized LuThScMn structure (PBE).

abc: 7.300 7.300 7.300
angles: 90.00 90.00 90.00
Space group F-43m (No. 216)
Unique sites:
Lu 0.000 0.000 0.000
Th 0.000 0.000 0.500
Sc 0.250 0.250 0.750
Mn 0.250 0.250 0.250

Values from the calculation:
energy of formation: 0.209 eV/atom
magnetic moment: 1.95 μB per formula unit
DOS at the Fermi energy: 1.519 states/eV per atom

Entry from Alexandria via LeMat-Bulk: a geometry-optimized Lu2MnSe structure (PBE).

abc: 3.5622 3.5622 27.7793
angles: 90.00 90.00 120.00
Space group R-3m (No. 166, hexagonal axes)
Unique sites:
Lu 0.0000 0.0000 0.0992
Mn 0.0000 0.0000 0.0000
Se 0.0000 0.0000 0.5000

Values from the calculation:
magnetic moment: 3.07 μB per formula unit
DOS at the Fermi energy: 0.975 states/eV per atom
formation energy from raw total energies: -0.5 eV/f.u.

Entry from Alexandria via LeMat-Bulk: a geometry-optimized Lu3Mn5Se12 structure (PBE).

abc: 15.524 15.524 15.524
angles: 90.00 90.00 90.00
Space group Ia-3d (No. 230)
Unique sites:
Lu 0.000 0.250 0.125
Mn 0.000 0.000 0.000
Mn 0.000 0.250 0.375
Se 0.025 0.062 0.648

Values from the calculation:
magnetic moment: 5.70 μB per formula unit
DOS at the Fermi energy: 0.480 states/eV per atom
formation energy from raw total energies: -16.7 eV/f.u.

Entry from Alexandria via LeMat-Bulk: a geometry-optimized Lu2MnSe structure (PBE).

abc: 3.487 3.487 6.886
angles: 90.00 90.00 90.00
Space group P4/mmm (No. 123)
Unique sites:
Lu 0.000 0.000 0.243
Mn 0.500 0.500 0.000
Se 0.500 0.500 0.500

Values from the calculation:
magnetic moment: 2.14 μB per formula unit
DOS at the Fermi energy: 0.977 states/eV per atom
formation energy from raw total energies: -2.3 eV/f.u.

Entry from Alexandria via LeMat-Bulk: a geometry-optimized LuMnSe2 structure (PBE).

abc: 3.9050 3.9050 16.6100
angles: 90.00 90.00 120.00
Space group R-3m (No. 166, hexagonal axes)
Unique sites:
Lu 0.0000 0.0000 0.0000
Mn 0.0000 0.0000 0.5000
Se 0.0000 0.0000 0.2338

Values from the calculation:
magnetic moment: 0.00 μB per formula unit
DOS at the Fermi energy: 0.411 states/eV per atom
formation energy from raw total energies: -2.9 eV/f.u.

Q: Among the records above, which one has the lowest magnetic moment?
A: LuMnSe2